Material: GaAg5Pd6
Method: DFT, GGA-PBE
State: optimized geometry

Calculated values
**Crystal system**: monoclinic
**Space-group type**: C2/m, No. 12

Lattice parameters (Å, degrees): 7.671 7.671 4.404 106.34 106.34 52.72
Fractional coordinates of all 12 atoms:
Ga (0.000, 0.000, 0.000)
Ag (0.185, 0.185, 0.683)
Ag (0.341, 0.341, 0.341)
Ag (0.500, 0.500, 0.000)
Ag (0.659, 0.659, 0.659)
Ag (0.815, 0.815, 0.317)
Pd (0.073, 0.613, 0.845)
Pd (0.216, 0.784, 0.500)
Pd (0.387, 0.927, 0.155)
Pd (0.613, 0.073, 0.845)
Pd (0.784, 0.216, 0.500)
Pd (0.927, 0.387, 0.155)

Material: Pr6Ho5Th
Method: DFT, GGA-PBE
State: optimized geometry

Calculated values
**Crystal system**: orthorhombic
**Space-group type**: Immm, No. 71

Lattice parameters (Å, degrees): 9.584 9.584 9.584 148.80 115.65 73.24
Fractional coordinates of all 12 atoms:
Pr (0.086, 0.335, 0.750)
Pr (0.249, 0.000, 0.249)
Pr (0.415, 0.665, 0.750)
Pr (0.585, 0.335, 0.250)
Pr (0.751, 0.000, 0.751)
Pr (0.914, 0.665, 0.250)
Ho (0.164, 0.164, 0.000)
Ho (0.332, 0.832, 0.500)
Ho (0.500, 0.500, 0.000)
Ho (0.668, 0.168, 0.500)
Ho (0.836, 0.836, 0.000)
Th (0.000, 0.500, 0.500)

Material: KPaTe2Cl
Method: DFT, GGA-PBE
State: optimized geometry

Calculated values
**Raw formation energy**: -1.25 eV per atom
**Crystal system**: monoclinic
**Space-group type**: P2_1/m, No. 11

Lattice parameters (Å, degrees): 9.194 4.409 9.877 90.00 105.70 90.00
Fractional coordinates of all 10 atoms:
K (0.230, 0.250, 0.317)
K (0.770, 0.750, 0.683)
Pa (0.330, 0.250, 0.827)
Pa (0.670, 0.750, 0.173)
Te (0.320, 0.750, 0.047)
Te (0.359, 0.750, 0.624)
Te (0.641, 0.250, 0.376)
Te (0.680, 0.250, 0.953)
Cl (0.032, 0.250, 0.745)
Cl (0.968, 0.750, 0.255)

What are the DOS at the Fermi energy values for these records? In order: 0.253 1.457 1.134 states/eV/atom.
What are the magnetic moment values for these records? In order: 0.000 0.000 1.002 μB per formula unit.
What are the final energy values for these records? In order: -4.21 -4.88 -4.99 eV per atom.